Entry 1:
Density functional theory data (GGA-PBE) for an optimized crystal structure of NiBP.

## Properties
total magnetic moment: 0.000 μB per cell
space group: Cm
crystal system: monoclinic
E_tot: -17.750 eV for the cell shown
energy above the most stable polymorph in this dataset: 202 meV/atom
ΔH_f (0 K): 0.040 eV/atom

Cell: 3.131 3.839 3.785 Å, 64.69 65.52 66.02°
Positions (direct):
Ni: 0.361 0.947 0.479
B: 0.678 0.893 0.897
P: 0.185 0.606 0.170

=====

Entry 2:
Density functional theory data (GGA-PBE) for an optimized crystal structure of YBeP.

## Properties
total magnetic moment: 0.000 μB per cell
space group: F-43m
crystal system: cubic
E_tot: -15.397 eV for the cell shown
energy above the most stable polymorph in this dataset: 1080 meV/atom
ΔH_f (0 K): 0.068 eV/atom

Cell: 4.504 4.504 4.504 Å, 60.00 60.00 60.00°
Positions (direct):
Y: 0.750 0.750 0.750
P: 0.500 0.500 0.500
Be: 0.000 0.000 0.000

=====

Entry 3:
Density functional theory data (GGA-PBE) for an optimized crystal structure of Li5SnHg.

## Properties
total magnetic moment: 0.000 μB per cell
space group: P4/mmm
crystal system: tetragonal
E_tot: -15.702 eV for the cell shown
energy above the most stable polymorph in this dataset: 25 meV/atom
ΔH_f (0 K): -0.261 eV/atom

Cell: 4.488 4.488 6.904 Å, 90.00 90.00 90.01°
Positions (direct):
Li: 0.500 0.000 0.245
Li: 0.000 0.500 0.245
Li: 0.000 0.000 0.500
Li: 0.000 0.500 0.755
Li: 0.500 0.000 0.755
Sn: 0.500 0.500 0.500
Hg: 0.000 0.000 0.000

=====

Entry 4:
Density functional theory data (GGA-PBE) for an optimized crystal structure of HfGa2Ir.

## Properties
total magnetic moment: 0.000 μB per cell
space group: P4/mmm
crystal system: tetragonal
E_tot: -26.817 eV for the cell shown
ΔH_f (0 K): -0.487 eV/atom

Cell: 4.135 3.989 3.989 Å, 90.00 90.00 90.00°
Positions (direct):
Ir: 0.500 0.500 0.500
Hf: 0.500 0.000 0.000
Ga: 0.000 0.000 0.500
Ga: 0.000 0.500 0.000

=====

Entry 5:
Density functional theory data (GGA-PBE) for an optimized crystal structure of PIrRuS2.

## Properties
total magnetic moment: 0.000 μB per cell
space group: P4/mmm
crystal system: tetragonal
E_tot: -26.167 eV for the cell shown
energy above the most stable polymorph in this dataset: 3 meV/atom

Cell: 4.537 4.537 4.448 Å, 90.00 90.00 90.00°
Positions (direct):
Ru: 0.000 0.000 0.000
S: 0.000 0.500 0.000
S: 0.500 0.000 0.000
Ir: 0.500 0.500 0.500
P: 0.000 0.000 0.500

=====

Entry 6:
Density functional theory data (GGA-PBE) for an optimized crystal structure of K2AuO2.

## Properties
total magnetic moment: 0.000 μB per cell
space group: P1
crystal system: triclinic
E_tot: -39.379 eV for the cell shown

Cell: 5.313 6.166 7.496 Å, 74.08 80.42 81.52°
Positions (direct):
K: 0.017 0.925 0.679
K: 0.297 0.254 0.181
K: 0.894 0.394 0.860
K: 0.483 0.474 0.547
Au: 0.488 0.796 0.955
Au: 0.855 0.809 0.244
O: 0.992 0.608 0.485
O: 0.698 0.015 0.022
O: 0.320 0.580 0.867
O: 0.020 0.355 0.502

=====

Question: Which formula does entry 3 have?
Answer: Li5SnHg

=====

Question: Which of these has the highest E_tot?
Answer: YBeP

=====

Question: Which value of E_tot does entry 5 give?
Answer: -26.167 eV for the cell shown

=====

Question: What is the E_tot in the third record?
Answer: -15.702 eV for the cell shown